[1]
# SrNiAs2Ru GGA-PBE optimized geometry
# Magnetic moment in μB per formula unit: 0.000
# Energy of formation from the pure elements in meV per atom: -625.9
# Symmetry: I-4m2, No. 119
# Calculated density in g cm⁻³: 6.75
# DFT total energy in eV per atom: -5.834
data_SrNiAs2Ru
_chemical_formula_sum 'Sr1 Ni1 As2 Ru1'
_space_group_name_H-M_alt 'P 1'
_space_group_IT_number 1
_space_group_name_Hall 'P 1'
_cell_length_a 3.979
_cell_length_b 3.979
_cell_length_c 6.784
_cell_angle_alpha 107.05
_cell_angle_beta 107.05
_cell_angle_gamma 90.00
loop_
_atom_site_label
_atom_site_type_symbol
_atom_site_fract_x
_atom_site_fract_y
_atom_site_fract_z
_atom_site_occupancy
Sr1 Sr 0.000 0.000 0.000 1
Ru1 Ru 0.250 0.750 0.500 1
As1 As 0.638 0.638 0.277 1
Ni1 Ni 0.750 0.250 0.500 1
As2 As 0.362 0.362 0.723 1


[2]
# TaNi2AsRu GGA-PBE optimized geometry
# Magnetic moment in μB per formula unit: 1.284
# Energy of formation from the pure elements in meV per atom: 801.8
# Symmetry: P4/mmm, No. 123
# Calculated density in g cm⁻³: 9.27
# DFT total energy in eV per atom: -6.666
data_TaNi2AsRu
_chemical_formula_sum 'Ta1 Ni2 As1 Ru1'
_space_group_name_H-M_alt 'P 1'
_space_group_IT_number 1
_space_group_name_Hall 'P 1'
_cell_length_a 4.200
_cell_length_b 4.815
_cell_length_c 4.200
_cell_angle_alpha 90.00
_cell_angle_beta 90.00
_cell_angle_gamma 90.00
loop_
_atom_site_label
_atom_site_type_symbol
_atom_site_fract_x
_atom_site_fract_y
_atom_site_fract_z
_atom_site_occupancy
Ru1 Ru 0.500 0.500 0.500 1
Ni1 Ni 0.000 0.000 0.500 1
Ta1 Ta 0.000 0.500 0.000 1
As1 As 0.000 0.000 0.000 1
Ni2 Ni 0.500 0.000 0.000 1


[3]
# Tb2Ni3As4Ru GGA-PBE optimized geometry
# Magnetic moment in μB per formula unit: 0.001
# Energy of formation from the pure elements in meV per atom: -762.3
# Symmetry: P-4m2, No. 115
# Calculated density in g cm⁻³: 8.94
# DFT total energy in eV per atom: -6.210
data_Tb2Ni3As4Ru
_chemical_formula_sum 'Tb2 Ni3 As4 Ru1'
_space_group_name_H-M_alt 'P 1'
_space_group_IT_number 1
_space_group_name_Hall 'P 1'
_cell_length_a 4.132
_cell_length_b 4.132
_cell_length_c 9.729
_cell_angle_alpha 90.00
_cell_angle_beta 90.00
_cell_angle_gamma 90.00
loop_
_atom_site_label
_atom_site_type_symbol
_atom_site_fract_x
_atom_site_fract_y
_atom_site_fract_z
_atom_site_occupancy
Ni1 Ni 0.000 0.000 0.500 1
Tb1 Tb 0.500 0.000 0.246 1
As1 As 0.000 0.500 0.360 1
Ni2 Ni 0.500 0.000 0.878 1
As2 As 0.500 0.000 0.640 1
Tb2 Tb 0.000 0.500 0.754 1
As3 As 0.000 0.000 0.000 1
Ru1 Ru 0.500 0.500 0.500 1
Ni3 Ni 0.000 0.500 0.122 1
As4 As 0.500 0.500 0.000 1


[4]
# TcNiAsRu GGA-PBE optimized geometry
# Magnetic moment in μB per formula unit: 0.000
# Energy of formation from the pure elements in meV per atom: -25.0
# Symmetry: F-43m, No. 216
# Calculated density in g cm⁻³: 10.33
# DFT total energy in eV per atom: -7.543
data_TcNiAsRu
_chemical_formula_sum 'Tc1 Ni1 As1 Ru1'
_space_group_name_H-M_alt 'P 1'
_space_group_IT_number 1
_space_group_name_Hall 'P 1'
_cell_length_a 4.229
_cell_length_b 4.229
_cell_length_c 4.229
_cell_angle_alpha 60.00
_cell_angle_beta 60.00
_cell_angle_gamma 60.00
loop_
_atom_site_label
_atom_site_type_symbol
_atom_site_fract_x
_atom_site_fract_y
_atom_site_fract_z
_atom_site_occupancy
Ni1 Ni 0.000 0.000 0.000 1
Tc1 Tc 0.250 0.250 0.250 1
Ru1 Ru 0.750 0.750 0.750 1
As1 As 0.500 0.500 0.500 1